--- one ---
A relaxed CdMo2H2 crystal. Source: Alexandria, functional PBE.

Geometry as CIF:
```
data_CdMo2H2
_cell_length_a 6.503
_cell_length_b 6.503
_cell_length_c 2.867
_cell_angle_alpha 90.00
_cell_angle_beta 90.00
_cell_angle_gamma 90.00
_symmetry_space_group_name_H-M 'P 4/m b m'
_symmetry_Int_Tables_number 127
_symmetry_space_group_name_Hall '-P 4 2ab'
loop_
_atom_site_label
_atom_site_fract_x
_atom_site_fract_y
_atom_site_fract_z
Cd1 0.000 0.000 0.000
Mo1 0.128 0.372 0.500
H1 0.106 0.606 0.000
```

DOS at the Fermi energy = 9.74 states/eV/cell

---

--- two ---
A relaxed CdMo2H2 crystal. Source: Alexandria, functional PBE.

Geometry as CIF:
```
data_CdMo2H2
_cell_length_a 3.718
_cell_length_b 3.718
_cell_length_c 9.416
_cell_angle_alpha 90.00
_cell_angle_beta 90.00
_cell_angle_gamma 90.00
_symmetry_space_group_name_H-M 'I 4/m m m'
_symmetry_Int_Tables_number 139
_symmetry_space_group_name_Hall '-I 4 2'
loop_
_atom_site_label
_atom_site_fract_x
_atom_site_fract_y
_atom_site_fract_z
Cd1 0.000 0.000 0.000
Mo1 0.000 0.500 0.250
H1 0.000 0.000 0.337
```

DOS at the Fermi energy = 4.88 states/eV/cell

---

Question: which arrangement is favored energetically? Ranking from most to least stable: two, one.

---

--- one ---
A relaxed CdSiTeMoHW crystal. Source: Alexandria, functional PBE.

Geometry as CIF:
```
data_CdSiTeMoHW
_cell_length_a 3.079
_cell_length_b 4.411
_cell_length_c 8.912
_cell_angle_alpha 95.64
_cell_angle_beta 99.75
_cell_angle_gamma 110.32
_symmetry_space_group_name_H-M 'P 1'
_symmetry_Int_Tables_number 1
loop_
_symmetry_equiv_pos_as_xyz
'x,y,z'
loop_
_atom_site_label
_atom_site_fract_x
_atom_site_fract_y
_atom_site_fract_z
Cd1 0.000 0.000 0.000
Si1 0.753 0.860 0.649
Te1 0.127 0.918 0.329
Mo1 0.959 0.393 0.525
H1 0.194 0.511 0.882
W1 0.554 0.337 0.772
```

DOS at the Fermi energy = 4.87 states/eV/cell

---

--- two ---
A relaxed CdSiTeMoHW crystal. Source: Alexandria, functional PBE.

Geometry as CIF:
```
data_CdSiTeMoHW
_cell_length_a 3.448
_cell_length_b 3.285
_cell_length_c 18.223
_cell_angle_alpha 90.00
_cell_angle_beta 90.00
_cell_angle_gamma 90.00
_symmetry_space_group_name_H-M 'A m m 2'
_symmetry_Int_Tables_number 38
loop_
_symmetry_equiv_pos_as_xyz
'x,y,z'
'-x,-y,z'
'-x,y,z'
'x,-y,z'
'x,y+1/2,z+1/2'
'-x,-y+1/2,z+1/2'
'-x,y+1/2,z+1/2'
'x,-y+1/2,z+1/2'
loop_
_atom_site_label
_atom_site_fract_x
_atom_site_fract_y
_atom_site_fract_z
Cd1 0.000 0.000 0.000
Si1 0.000 0.000 0.324
Te1 0.000 0.000 0.648
Mo1 0.500 0.000 0.228
H1 0.500 0.000 0.425
W1 0.500 0.000 0.871
```

DOS at the Fermi energy = 4.99 states/eV/cell

---

--- three ---
A relaxed CdSiTeMoHW crystal. Source: Alexandria, functional PBE.

Geometry as CIF:
```
data_CdSiTeMoHW
_cell_length_a 4.778
_cell_length_b 3.137
_cell_length_c 7.996
_cell_angle_alpha 90.00
_cell_angle_beta 98.22
_cell_angle_gamma 90.00
_symmetry_space_group_name_H-M 'P 1 m 1'
_symmetry_Int_Tables_number 6
loop_
_symmetry_equiv_pos_as_xyz
'x,y,z'
'x,-y,z'
loop_
_atom_site_label
_atom_site_fract_x
_atom_site_fract_y
_atom_site_fract_z
Cd1 0.000 0.000 0.000
Si1 0.590 0.000 0.650
Te1 0.150 0.000 0.409
Mo1 0.012 0.500 0.667
H1 0.518 0.000 0.008
W1 0.454 0.500 0.867
```

DOS at the Fermi energy = 2.55 states/eV/cell

---

Question: which arrangement is favored energetically? Ranking from most to least stable: two, one, three.

---

--- one ---
A relaxed CdSiTeMoHW crystal. Source: Alexandria, functional PBE.

Geometry as CIF:
```
data_CdSiTeMoHW
_cell_length_a 18.433
_cell_length_b 3.327
_cell_length_c 3.364
_cell_angle_alpha 90.00
_cell_angle_beta 90.03
_cell_angle_gamma 90.00
_symmetry_space_group_name_H-M 'C 1 m 1'
_symmetry_Int_Tables_number 8
loop_
_symmetry_equiv_pos_as_xyz
'x,y,z'
'x,-y,z'
'x+1/2,y+1/2,z'
'x+1/2,-y+1/2,z'
loop_
_atom_site_label
_atom_site_fract_x
_atom_site_fract_y
_atom_site_fract_z
Cd1 0.000 0.000 0.000
Si1 0.348 0.500 0.000
Te1 0.163 0.000 0.999
Mo1 0.246 0.500 0.499
H1 0.293 0.000 0.506
W1 0.393 0.000 0.499
```

DOS at the Fermi energy = 4.42 states/eV/cell

---

--- two ---
A relaxed CdSiTeMoHW crystal. Source: Alexandria, functional PBE.

Geometry as CIF:
```
data_CdSiTeMoHW
_cell_length_a 3.158
_cell_length_b 3.259
_cell_length_c 10.100
_cell_angle_alpha 90.11
_cell_angle_beta 98.94
_cell_angle_gamma 90.00
_symmetry_space_group_name_H-M 'P 1'
_symmetry_Int_Tables_number 1
loop_
_symmetry_equiv_pos_as_xyz
'x,y,z'
loop_
_atom_site_label
_atom_site_fract_x
_atom_site_fract_y
_atom_site_fract_z
Cd1 0.000 0.000 0.000
Si1 0.162 0.002 0.327
Te1 0.843 0.004 0.693
Mo1 0.729 0.503 0.463
H1 0.272 0.504 0.549
W1 0.597 0.501 0.196
```

DOS at the Fermi energy = 2.98 states/eV/cell

---

--- three ---
A relaxed CdSiTeMoHW crystal. Source: Alexandria, functional PBE.

Geometry as CIF:
```
data_CdSiTeMoHW
_cell_length_a 10.121
_cell_length_b 3.264
_cell_length_c 6.551
_cell_angle_alpha 90.00
_cell_angle_beta 103.03
_cell_angle_gamma 90.00
_symmetry_space_group_name_H-M 'C 1 m 1'
_symmetry_Int_Tables_number 8
loop_
_symmetry_equiv_pos_as_xyz
'x,y,z'
'x,-y,z'
'x+1/2,y+1/2,z'
'x+1/2,-y+1/2,z'
loop_
_atom_site_label
_atom_site_fract_x
_atom_site_fract_y
_atom_site_fract_z
Cd1 0.000 0.000 0.000
Si1 0.270 0.000 0.803
Te1 0.443 0.500 0.464
Mo1 0.218 0.000 0.400
H1 0.137 0.500 0.827
W1 0.238 0.500 0.087
```

DOS at the Fermi energy = 4.83 states/eV/cell

---

--- four ---
A relaxed CdSiTeMoHW crystal. Source: Alexandria, functional PBE.

Geometry as CIF:
```
data_CdSiTeMoHW
_cell_length_a 10.518
_cell_length_b 3.215
_cell_length_c 6.231
_cell_angle_alpha 90.00
_cell_angle_beta 97.19
_cell_angle_gamma 90.00
_symmetry_space_group_name_H-M 'C 1 m 1'
_symmetry_Int_Tables_number 8
loop_
_symmetry_equiv_pos_as_xyz
'x,y,z'
'x,-y,z'
'x+1/2,y+1/2,z'
'x+1/2,-y+1/2,z'
loop_
_atom_site_label
_atom_site_fract_x
_atom_site_fract_y
_atom_site_fract_z
Cd1 0.000 0.000 0.000
Si1 0.479 0.500 0.567
Te1 0.245 0.000 0.685
Mo1 0.346 0.000 0.311
H1 0.249 0.500 0.181
W1 0.122 0.500 0.366
```

DOS at the Fermi energy = 8.61 states/eV/cell

---

Question: which arrangement is favored energetically? Ranking from most to least stable: one, two, four, three.

---

--- one ---
A relaxed CdSiTeMoHW crystal. Source: Alexandria, functional PBE.

Geometry as CIF:
```
data_CdSiTeMoHW
_cell_length_a 3.271
_cell_length_b 3.396
_cell_length_c 9.449
_cell_angle_alpha 90.00
_cell_angle_beta 98.41
_cell_angle_gamma 90.00
_symmetry_space_group_name_H-M 'P 1 m 1'
_symmetry_Int_Tables_number 6
loop_
_symmetry_equiv_pos_as_xyz
'x,y,z'
'x,-y,z'
loop_
_atom_site_label
_atom_site_fract_x
_atom_site_fract_y
_atom_site_fract_z
Cd1 0.000 0.000 0.000
Si1 0.110 0.000 0.295
Te1 0.842 0.000 0.674
Mo1 0.248 0.500 0.501
H1 0.436 0.000 0.456
W1 0.584 0.500 0.217
```

DOS at the Fermi energy = 1.93 states/eV/cell

---

--- two ---
A relaxed CdSiTeMoHW crystal. Source: Alexandria, functional PBE.

Geometry as CIF:
```
data_CdSiTeMoHW
_cell_length_a 2.990
_cell_length_b 6.158
_cell_length_c 6.423
_cell_angle_alpha 113.61
_cell_angle_beta 103.32
_cell_angle_gamma 90.19
_symmetry_space_group_name_H-M 'P 1'
_symmetry_Int_Tables_number 1
loop_
_symmetry_equiv_pos_as_xyz
'x,y,z'
loop_
_atom_site_label
_atom_site_fract_x
_atom_site_fract_y
_atom_site_fract_z
Cd1 0.000 0.000 0.000
Si1 0.047 0.491 0.106
Te1 0.248 0.057 0.499
Mo1 0.392 0.537 0.793
H1 0.236 0.465 0.483
W1 0.742 0.673 0.490
```

DOS at the Fermi energy = 4.07 states/eV/cell

---

Question: which arrangement is favored energetically? Ranking from most to least stable: one, two.

---

--- one ---
A relaxed CdSiTeMoHW crystal. Source: Alexandria, functional PBE.

Geometry as CIF:
```
data_CdSiTeMoHW
_cell_length_a 3.219
_cell_length_b 3.243
_cell_length_c 9.568
_cell_angle_alpha 90.00
_cell_angle_beta 90.00
_cell_angle_gamma 90.00
_symmetry_space_group_name_H-M 'P m m 2'
_symmetry_Int_Tables_number 25
loop_
_symmetry_equiv_pos_as_xyz
'x,y,z'
'-x,-y,z'
'-x,y,z'
'x,-y,z'
loop_
_atom_site_label
_atom_site_fract_x
_atom_site_fract_y
_atom_site_fract_z
Cd1 0.000 0.000 0.000
Si1 0.500 0.000 0.615
Te1 0.500 0.000 0.283
Mo1 0.000 0.500 0.462
H1 0.500 0.500 0.848
W1 0.000 0.500 0.746
```

DOS at the Fermi energy = 2.17 states/eV/cell

---

--- two ---
A relaxed CdSiTeMoHW crystal. Source: Alexandria, functional PBE.

Geometry as CIF:
```
data_CdSiTeMoHW
_cell_length_a 3.789
_cell_length_b 5.026
_cell_length_c 5.901
_cell_angle_alpha 97.53
_cell_angle_beta 100.67
_cell_angle_gamma 94.03
_symmetry_space_group_name_H-M 'P 1'
_symmetry_Int_Tables_number 1
loop_
_symmetry_equiv_pos_as_xyz
'x,y,z'
loop_
_atom_site_label
_atom_site_fract_x
_atom_site_fract_y
_atom_site_fract_z
Cd1 0.000 0.000 0.000
Si1 0.345 0.161 0.532
Te1 0.528 0.514 0.060
Mo1 0.812 0.848 0.475
H1 0.047 0.534 0.434
W1 0.921 0.455 0.701
```

DOS at the Fermi energy = 3.15 states/eV/cell

---

--- three ---
A relaxed CdSiTeMoHW crystal. Source: Alexandria, functional PBE.

Geometry as CIF:
```
data_CdSiTeMoHW
_cell_length_a 3.477
_cell_length_b 3.292
_cell_length_c 17.621
_cell_angle_alpha 90.00
_cell_angle_beta 90.00
_cell_angle_gamma 90.00
_symmetry_space_group_name_H-M 'A m m 2'
_symmetry_Int_Tables_number 38
loop_
_symmetry_equiv_pos_as_xyz
'x,y,z'
'-x,-y,z'
'-x,y,z'
'x,-y,z'
'x,y+1/2,z+1/2'
'-x,-y+1/2,z+1/2'
'-x,y+1/2,z+1/2'
'x,-y+1/2,z+1/2'
loop_
_atom_site_label
_atom_site_fract_x
_atom_site_fract_y
_atom_site_fract_z
Cd1 0.000 0.000 0.000
Si1 0.000 0.000 0.844
Te1 0.000 0.000 0.164
Mo1 0.500 0.000 0.745
H1 0.500 0.000 0.495
W1 0.500 0.000 0.392
```

DOS at the Fermi energy = 3.29 states/eV/cell

---

Question: which arrangement is favored energetically? Ranking from most to least stable: three, one, two.

---

--- one ---
A relaxed Cd2HN crystal. Source: Alexandria, functional PBE.

Geometry as CIF:
```
data_Cd2HN
_cell_length_a 4.879
_cell_length_b 4.879
_cell_length_c 10.886
_cell_angle_alpha 90.00
_cell_angle_beta 90.00
_cell_angle_gamma 90.00
_symmetry_space_group_name_H-M 'I -4 2 d'
_symmetry_Int_Tables_number 122
_symmetry_space_group_name_Hall 'I -4 2bw'
loop_
_atom_site_label
_atom_site_fract_x
_atom_site_fract_y
_atom_site_fract_z
Cd1 0.242 0.250 0.125
H1 0.000 0.000 0.500
N1 0.000 0.000 0.000
```

DOS at the Fermi energy = 0.00 states/eV/cell

---

--- two ---
A relaxed Cd2HN crystal. Source: Alexandria, functional PBE.

Geometry as CIF:
```
data_Cd2HN
_cell_length_a 5.886
_cell_length_b 5.886
_cell_length_c 5.886
_cell_angle_alpha 90.00
_cell_angle_beta 90.00
_cell_angle_gamma 90.00
_symmetry_space_group_name_H-M 'F m -3 m'
_symmetry_Int_Tables_number 225
_symmetry_space_group_name_Hall '-F 4 2 3'
loop_
_atom_site_label
_atom_site_fract_x
_atom_site_fract_y
_atom_site_fract_z
Cd1 0.250 0.250 0.250
H1 0.000 0.000 0.000
N1 0.000 0.000 0.500
```

DOS at the Fermi energy = 0.07 states/eV/cell

---

Question: which arrangement is favored energetically? Ranking from most to least stable: one, two.